VASP calculation (PBE) on an optimized crystal structure of LaCo2Tc.

Lattice parameters (Å, degrees): 3.062 3.062 7.079 90.00 90.00 90.00
Positions (direct):
La1 0.000 0.000 0.000
Co1 0.500 0.500 0.316
Co2 0.500 0.500 0.684
Tc1 0.000 0.000 0.500

Output
The value obtained for the formation energy is 224.2 meV per atom. Its density of states at the Fermi level is 4.10 states/eV/f.u. As for the polymorph energy (0 for the lowest one): 198 meV/atom. The value obtained for the density is 8.9 g/cm³.

VASP calculation (PBE) on an optimized crystal structure of BaMnRh2.

Lattice parameters (Å, degrees): 4.808 4.808 4.808 60.00 60.00 60.00
Positions (direct):
Ba1 0.000 0.000 0.000
Mn1 0.250 0.250 0.250
Rh1 0.500 0.500 0.500
Rh2 0.750 0.750 0.750

Output
The value obtained for the formation energy is 542.3 meV per atom. Its density of states at the Fermi level is 5.16 states/eV/f.u. The value obtained for the density is 8.4 g/cm³.

VASP calculation (PBE) on an optimized crystal structure of CrAsRh2.

Lattice parameters (Å, degrees): 2.929 3.777 5.281 90.00 90.00 90.00
Positions (direct):
Cr1 0.000 0.000 0.000
As1 0.500 0.500 0.689
Rh1 0.000 0.000 0.500
Rh2 0.500 0.500 0.180

Output
The value obtained for the formation energy is -73.3 meV per atom. Its density of states at the Fermi level is 3.94 states/eV/f.u. The value obtained for the density is 9.5 g/cm³.

VASP calculation (PBE) on an optimized crystal structure of TeOs3W.

Lattice parameters (Å, degrees): 4.765 4.765 4.765 90.00 90.00 90.00
Positions (direct):
Te1 0.000 0.000 0.000
Os1 0.000 0.500 0.500
Os2 0.500 0.000 0.500
Os3 0.500 0.500 0.000
W1 0.500 0.500 0.500

Output
The value obtained for the uncorrected formation energy is 11.0 eV/f.u. Its density of states at the Fermi level is 8.19 states/eV/f.u. As for the polymorph energy (0 for the lowest one): 0 meV/atom. The value obtained for the density is 13.5 g/cm³.

VASP calculation (PBE) on an optimized crystal structure of HoTmGe2.

Lattice parameters (Å, degrees): 7.869 7.869 7.869 28.37 28.37 28.37
Positions (direct):
Ho1 0.000 0.000 0.000
Tm1 0.500 0.500 0.500
Ge1 0.249 0.249 0.249
Ge2 0.751 0.751 0.751

Output
The value obtained for the formation energy is -634.3 meV per atom. Its density of states at the Fermi level is 3.49 states/eV/f.u. As for the polymorph energy (0 for the lowest one): 217 meV/atom. The value obtained for the density is 8.2 g/cm³.

VASP calculation (PBE) on an optimized crystal structure of Cu2Te2Se5.

Lattice parameters (Å, degrees): 10.233 10.233 7.348 110.14 110.14 39.27
Positions (direct):
Cu1 0.000 0.000 0.000
Cu2 0.205 0.315 0.177
Cu3 0.534 0.466 0.500
Cu4 0.685 0.795 0.823
Te1 0.111 0.101 0.649
Te2 0.278 0.481 0.792
Te3 0.519 0.722 0.208
Te4 0.899 0.889 0.351
Se1 0.209 0.115 0.286
Se2 0.238 0.723 0.220
Se3 0.277 0.762 0.780
Se4 0.335 0.156 0.867
Se5 0.425 0.310 0.448
Se6 0.690 0.575 0.552
Se7 0.717 0.186 0.172
Se8 0.814 0.283 0.828
Se9 0.844 0.665 0.133
Se10 0.885 0.791 0.714

Output
The value obtained for the uncorrected formation energy is 0.3 eV/f.u. Its density of states at the Fermi level is 3.49 states/eV/f.u. As for the polymorph energy (0 for the lowest one): 37 meV/atom. The value obtained for the density is 5.7 g/cm³.